## CaErAg2Hg4 (PBE-GGA)

Data for CaErAg2Hg4 after structural relaxation.

Formation enthalpy at 0 K, eV per formula unit: -2.51
V, Å³ per cell: 180.2
ρ, g/cm³: 11.29

Lattice parameters (Å, degrees): 8.6808 8.6808 8.6808 33.78 33.78 33.78
Atoms (fractional coordinates):
Ca: 0.0000 0.0000 0.0000
Er: 0.5000 0.5000 0.5000
Ag: 0.2498 0.2498 0.2498
Ag: 0.7502 0.7502 0.7502
Hg: 0.1268 0.1268 0.1268
Hg: 0.3755 0.3755 0.3755
Hg: 0.6245 0.6245 0.6245
Hg: 0.8732 0.8732 0.8732


## CaErAgHg (PBE-GGA)

Data for CaErAgHg after structural relaxation.

Formation enthalpy at 0 K, eV per formula unit: -1.59
V, Å³ per cell: 99.7
ρ, g/cm³: 8.59

Lattice parameters (Å, degrees): 5.2040 5.2040 5.2040 60.00 60.00 60.00
Atoms (fractional coordinates):
Ca: 0.0000 0.0000 0.0000
Er: 0.5000 0.5000 0.5000
Ag: 0.2500 0.2500 0.2500
Hg: 0.7500 0.7500 0.7500


## CaErAgHg (PBE-GGA)

Data for CaErAgHg after structural relaxation.

Formation enthalpy at 0 K, eV per formula unit: -1.65
V, Å³ per cell: 101.6
ρ, g/cm³: 8.43

Lattice parameters (Å, degrees): 3.6769 3.6769 7.5116 90.00 90.00 90.00
Atoms (fractional coordinates):
Ca: 0.0000 0.0000 0.0000
Er: 0.0000 0.0000 0.4871
Ag: 0.5000 0.5000 0.2655
Hg: 0.5000 0.5000 0.7302


Q: Look up the V of the first one.
A: 180.2 Å³ per cell


Q: Which of these has the highest formation enthalpy at 0 K?
A: number 2


Q: V of number 2 (CaErAgHg)?
A: 99.7 Å³ per cell